Density functional theory data (SCAN) for a crystal of BaAlB4H3O10 relaxed with PBEsol.

Summary:
Energy = -197.156 eV per formula unit
Magnetic moment = 0.0 μB/cell

```
BaAlB4H3O10
1.0
-1.145 -1.864 -6.799
5.525 -1.628 -4.235
-1.508 -18.387 1.542
H O B Al Ba
12 40 16 4 4
direct
0.972 0.427 0.258
0.174 0.090 0.704
0.028 0.573 0.742
0.968 0.410 0.796
0.032 0.590 0.204
0.171 0.867 0.198
0.658 0.073 0.242
0.763 0.367 0.698
0.826 0.910 0.296
0.342 0.927 0.758
0.237 0.633 0.302
0.829 0.133 0.802
0.347 0.483 0.282
0.888 0.983 0.782
0.326 0.023 0.713
0.291 0.603 0.438
0.928 0.133 0.661
0.433 0.728 0.821
0.573 0.377 0.050
0.666 0.364 0.402
0.922 0.338 0.951
0.706 0.769 0.070
0.820 0.022 0.089
0.278 0.633 0.161
0.568 0.864 0.902
0.112 0.017 0.218
0.001 0.877 0.550
0.331 0.897 0.062
0.709 0.397 0.562
0.432 0.136 0.098
0.789 0.838 0.451
0.018 0.228 0.321
0.982 0.772 0.679
0.180 0.978 0.911
0.427 0.623 0.950
0.334 0.636 0.598
0.063 0.477 0.787
0.294 0.231 0.930
0.078 0.662 0.049
0.455 0.269 0.570
0.567 0.272 0.179
0.674 0.977 0.287
0.072 0.867 0.339
0.069 0.522 0.589
0.931 0.478 0.411
0.937 0.523 0.213
0.999 0.123 0.450
0.722 0.367 0.839
0.545 0.731 0.430
0.653 0.517 0.718
0.211 0.162 0.549
0.669 0.103 0.938
0.129 0.179 0.928
0.513 0.066 0.922
0.499 0.566 0.422
0.605 0.533 0.794
0.898 0.298 0.397
0.407 0.798 0.897
0.931 0.967 0.706
0.395 0.467 0.206
0.487 0.934 0.078
0.871 0.821 0.072
0.237 0.321 0.572
0.763 0.679 0.428
0.501 0.434 0.578
0.069 0.033 0.294
0.593 0.202 0.103
0.102 0.702 0.603
0.666 0.354 0.943
0.334 0.646 0.057
0.963 0.146 0.557
0.037 0.854 0.443
0.020 0.697 0.898
0.385 0.197 0.398
0.615 0.803 0.602
0.980 0.303 0.102
```

---

Density functional theory data (SCAN) for a crystal of LaTl2P2S7 relaxed with PBEsol.

Summary:
Energy = -287.069 eV per formula unit
Magnetic moment = 0.0 μB/cell
Formation energy (no corrections) = -921.1 meV per atom

```
LaTl2P2S7
1.0
6.533 0.000 0.000
0.000 9.224 0.001
-3.267 -3.246 9.716
S P Tl La
14 4 4 2
direct
0.853 0.040 0.203
0.787 0.096 0.574
0.767 0.716 0.533
0.213 0.904 0.426
0.346 0.562 0.200
0.350 0.040 0.203
0.147 0.960 0.797
0.490 0.763 0.980
0.233 0.284 0.467
0.854 0.562 0.200
0.654 0.438 0.800
0.146 0.438 0.800
0.650 0.960 0.797
0.510 0.237 0.020
0.836 0.930 0.671
0.547 0.466 0.093
0.453 0.534 0.907
0.164 0.070 0.329
0.681 0.320 0.362
0.319 0.680 0.638
0.992 0.746 0.985
0.008 0.254 0.015
0.346 0.162 0.692
0.654 0.838 0.308
```

---

Density functional theory data (SCAN) for a crystal of CrTcCl relaxed with PBEsol.

Summary:
Energy = -60.181 eV per formula unit
Magnetic moment = 0.0 μB/cell
Formation energy (no corrections) = 414.0 meV per atom

```
CrTcCl
1.0
2.811 0.000 0.000
0.000 2.811 0.000
-1.405 -1.405 4.948
Cr Tc Cl
1 1 1
direct
0.668 0.668 0.337
0.323 0.323 0.646
0.008 0.008 0.017
```

---

N(E_F) per entry: 0.0; 0.0; 2.6 states/eV/f.u.